## Ir6OsW5 (PBE)

Data for a relaxed structure of Ir6OsW5.

Results
Fermi-level density of states (states/eV per cell): 6.092
Energy of formation (meV per atom): -247

abc: 3.9111 7.3300 7.3300
angles: 106.37 105.47 105.47
Last column: nearest neighbours and their distance in Å.
Positions (direct):
Ir (0.2492, 0.4154, 0.0831)  4 Ir 2.76-2.77, 1 Os 2.77, 7 W 2.77-2.80
Ir (0.2502, 0.7502, 0.7502)  6 W 2.76-2.77, 4 Ir 2.76, 2 Os 2.77
Ir (0.2492, 0.0831, 0.4154)  4 Ir 2.76-2.77, 1 Os 2.77, 7 W 2.77-2.80
Ir (0.7508, 0.5846, 0.9169)  4 Ir 2.76-2.77, 1 Os 2.77, 7 W 2.77-2.80
Ir (0.7508, 0.9169, 0.5846)  4 Ir 2.76-2.77, 1 Os 2.77, 7 W 2.77-2.80
Ir (0.7498, 0.2498, 0.2498)  6 W 2.76-2.77, 4 Ir 2.76, 2 Os 2.77
W (0.5000, 0.1648, 0.8352)  2 Os 2.75, 8 Ir 2.76-2.80, 2 W 2.79
W (0.5000, 0.5000, 0.5000)  4 W 2.76, 8 Ir 2.77
W (0.0000, 0.6660, 0.3340)  4 W 2.76-2.79, 8 Ir 2.77-2.78
W (0.0000, 0.3340, 0.6660)  4 W 2.76-2.79, 8 Ir 2.77-2.78
W (0.5000, 0.8352, 0.1648)  2 Os 2.75, 8 Ir 2.76-2.80, 2 W 2.79
Os (0.0000, 0.0000, 0.0000)  4 W 2.75, 8 Ir 2.77